Material: CaNi2O4
Method: DFT, PBE+U
State: relaxed

a b c (Å): 6.3529 6.3529 6.3529
angles (deg): 56.60 56.60 56.60
Element x y z (fractional)
Ca: 0.0000 0.0000 0.0000
Ca: 0.3849 0.3849 0.3849
Ni: 0.3723 0.3723 0.8970
Ni: 0.3723 0.8970 0.3723
Ni: 0.7825 0.7825 0.7825
Ni: 0.8970 0.3723 0.3723
O: 0.1325 0.1325 0.5639
O: 0.1325 0.5639 0.1325
O: 0.1383 0.1383 0.1383
O: 0.1797 0.6462 0.6462
O: 0.5639 0.1325 0.1325
O: 0.6462 0.1797 0.6462
O: 0.6462 0.6462 0.1797
O: 0.6715 0.6715 0.6715

Properties
Its space group is No. 160. As for the magnetic moment: 6.0 μB/cell. As for the energy above the most stable polymorph in this dataset: 131 meV per atom.